{
  "formula": "CdGe2SO6",
  "functional": "PBE",
  "state": "optimized geometry",
  "lattice_angstrom": [[6.5178, 0.0000, 0.0000], [-2.6734, 6.2628, 0.0000], [-0.6780, -2.4785, 6.4962]],
  "species": ["Cd", "Cd", "Ge", "Ge", "Ge", "Ge", "S", "S", "O", "O", "O", "O", "O", "O", "O", "O", "O", "O", "O", "O"],
  "fractional_positions": [[0.2233, 0.4649, 0.3776], [0.7767, 0.5351, 0.6224], [0.3128, 0.9891, 0.7183], [0.3772, 0.5961, 0.8694], [0.6228, 0.4039, 0.1306], [0.6872, 0.0109, 0.2817], [0.1140, 0.8945, 0.1987], [0.8860, 0.1055, 0.8013], [0.0249, 0.0613, 0.3060], [0.0779, 0.3084, 0.9583], [0.1866, 0.6720, 0.6919], [0.2112, 0.8274, 0.3579], [0.2958, 0.0172, 0.1076], [0.4191, 0.4099, 0.6538], [0.5809, 0.5901, 0.3462], [0.7042, 0.9828, 0.8924], [0.7888, 0.1726, 0.6421], [0.8134, 0.3280, 0.3081], [0.9221, 0.6916, 0.0417], [0.9751, 0.9387, 0.6940]],
  "total_energy_ev_per_atom": -5.5766
}